## SrAl2Ga2 (PBE)

Data for SrAl2Ga2 after structural relaxation.

Output
Total energy in eV/atom: -3.131

Geometry as CIF:
```
data_SrAl2Ga2
_chemical_formula_sum 'Sr2 Al4 Ga4'
_cell_length_a 8.085
_cell_length_b 8.085
_cell_length_c 3.285
_cell_angle_alpha 90.00
_cell_angle_beta 90.00
_cell_angle_gamma 90.00
_symmetry_space_group_name_H-M 'P 4/m b m'
_symmetry_Int_Tables_number 127
_symmetry_space_group_name_Hall '-P 4 2ab'
loop_
_atom_site_label
_atom_site_type_symbol
_atom_site_fract_x
_atom_site_fract_y
_atom_site_fract_z
_atom_site_occupancy
Sr1 Sr 0.000 0.000 0.000 1
Al1 Al 0.150 0.350 0.500 1
Ga1 Ga 0.136 0.636 0.000 1
```


## SrAl3Ga3 (PBE)

Data for SrAl3Ga3 after structural relaxation.

Output
Total energy in eV/atom: -3.086

Geometry as CIF:
```
data_SrAl3Ga3
_chemical_formula_sum 'Sr2 Al6 Ga6'
_cell_length_a 7.123
_cell_length_b 7.123
_cell_length_c 7.123
_cell_angle_alpha 90.00
_cell_angle_beta 90.00
_cell_angle_gamma 90.00
_symmetry_space_group_name_H-M 'P m -3 n'
_symmetry_Int_Tables_number 223
_symmetry_space_group_name_Hall '-P 4n 2 3'
loop_
_atom_site_label
_atom_site_type_symbol
_atom_site_fract_x
_atom_site_fract_y
_atom_site_fract_z
_atom_site_occupancy
Sr1 Sr 0.000 0.000 0.000 1
Al1 Al 0.000 0.250 0.500 1
Ga1 Ga 0.000 0.500 0.250 1
```


## SrAl3Ga (PBE)

Data for SrAl3Ga after structural relaxation.

Output
Excess energy over the best structure of this formula in the dataset in meV/atom: 1643

Geometry as CIF:
```
data_SrAl3Ga
_chemical_formula_sum 'Sr1 Al3 Ga1'
_cell_length_a 5.924
_cell_length_b 5.924
_cell_length_c 5.924
_cell_angle_alpha 90.00
_cell_angle_beta 90.00
_cell_angle_gamma 90.00
_symmetry_space_group_name_H-M 'P m -3 m'
_symmetry_Int_Tables_number 221
_symmetry_space_group_name_Hall '-P 4 2 3'
loop_
_atom_site_label
_atom_site_type_symbol
_atom_site_fract_x
_atom_site_fract_y
_atom_site_fract_z
_atom_site_occupancy
Sr1 Sr 0.000 0.000 0.000 1
Al1 Al 0.000 0.000 0.500 1
Ga1 Ga 0.500 0.500 0.500 1
```


## SrAlGa (PBE)

Data for SrAlGa after structural relaxation.

Output
Total energy in eV/atom: -3.166

Geometry as CIF:
```
data_SrAlGa
_chemical_formula_sum 'Sr2 Al2 Ga2'
_cell_length_a 4.481
_cell_length_b 4.523
_cell_length_c 7.676
_cell_angle_alpha 90.00
_cell_angle_beta 90.00
_cell_angle_gamma 90.00
_symmetry_space_group_name_H-M 'P m m 2'
_symmetry_Int_Tables_number 25
loop_
_symmetry_equiv_pos_as_xyz
'x,y,z'
'-x,-y,z'
'-x,y,z'
'x,-y,z'
loop_
_atom_site_label
_atom_site_type_symbol
_atom_site_fract_x
_atom_site_fract_y
_atom_site_fract_z
_atom_site_occupancy
Sr1 Sr 0.000 0.000 0.000 1
Sr2 Sr 0.500 0.500 0.358 1
Al1 Al 0.500 0.000 0.675 1
Al2 Al 0.500 0.500 0.879 1
Ga1 Ga 0.000 0.000 0.466 1
Ga2 Ga 0.000 0.500 0.677 1
```


## Sr2Al3Ga5 (PBE)

Data for Sr2Al3Ga5 after structural relaxation.

Output
Excess energy over the best structure of this formula in the dataset in meV/atom: 0

Geometry as CIF:
```
data_Sr2Al3Ga5
_chemical_formula_sum 'Sr8 Al12 Ga20'
_cell_length_a 10.923
_cell_length_b 12.544
_cell_length_c 6.355
_cell_angle_alpha 90.00
_cell_angle_beta 90.00
_cell_angle_gamma 90.00
_symmetry_space_group_name_H-M 'I b a m'
_symmetry_Int_Tables_number 72
_symmetry_space_group_name_Hall '-I 2 2c'
loop_
_atom_site_label
_atom_site_type_symbol
_atom_site_fract_x
_atom_site_fract_y
_atom_site_fract_z
_atom_site_occupancy
Sr1 Sr 0.242 0.126 0.000 1
Al1 Al 0.000 0.500 0.250 1
Al2 Al 0.126 0.129 0.500 1
Ga1 Ga 0.000 0.000 0.250 1
Ga2 Ga 0.000 0.261 0.250 1
Ga3 Ga 0.140 0.381 0.000 1
```


## SrAl3Ga2 (PBE)

Data for SrAl3Ga2 after structural relaxation.

Output
Total energy in eV/atom: -3.406

Geometry as CIF:
```
data_SrAl3Ga2
_chemical_formula_sum 'Sr4 Al12 Ga8'
_cell_length_a 16.649
_cell_length_b 4.215
_cell_length_c 8.110
_cell_angle_alpha 90.00
_cell_angle_beta 116.62
_cell_angle_gamma 90.00
_symmetry_space_group_name_H-M 'C 1 2/m 1'
_symmetry_Int_Tables_number 12
loop_
_symmetry_equiv_pos_as_xyz
'x,y,z'
'-x,-y,-z'
'-x,y,-z'
'x,-y,z'
'x+1/2,y+1/2,z'
'-x+1/2,-y+1/2,-z'
'-x+1/2,y+1/2,-z'
'x+1/2,-y+1/2,z'
loop_
_atom_site_label
_atom_site_type_symbol
_atom_site_fract_x
_atom_site_fract_y
_atom_site_fract_z
_atom_site_occupancy
Sr1 Sr 0.149 0.000 0.059 1
Al1 Al 0.043 0.000 0.385 1
Al2 Al 0.083 0.500 0.663 1
Al3 Al 0.185 0.500 0.451 1
Ga1 Ga 0.021 0.500 0.169 1
Ga2 Ga 0.197 0.000 0.693 1
```


Calculated values (states/eV per cell) of D(E_F) for the records, taken in order: 4.49, 8.88, 4.75, 0.95, 8.83, 9.65.